No. 1
This record from Alexandria via LeMat-Bulk describes SrAlRu2 after structural relaxation. The functional is PBE-GGA.

## Properties
ΔE_f: 518.5 meV/atom
SG: No. 216

Lattice parameters (Å, degrees): 4.705 4.705 4.705 60.00 60.00 60.00
Fractional coordinates of all 4 atoms:
Sr (0.000, 0.000, 0.000)
Al (0.750, 0.750, 0.750)
Ru (0.250, 0.250, 0.250)
Ru (0.500, 0.500, 0.500)


No. 2
This record from Alexandria via LeMat-Bulk describes SrAlRu2 after structural relaxation. The functional is PBE-GGA.

## Properties
ΔE_f: 140.5 meV/atom
SG: No. 99

Lattice parameters (Å, degrees): 2.968 2.968 8.418 90.00 90.00 90.00
Fractional coordinates of all 4 atoms:
Sr (0.000, 0.000, 0.000)
Al (0.500, 0.500, 0.321)
Ru (0.000, 0.000, 0.521)
Ru (0.500, 0.500, 0.706)


No. 3
This record from Alexandria via LeMat-Bulk describes Sr2AlRu after structural relaxation. The functional is PBE-GGA.

## Properties
ΔE_f: 398.6 meV/atom
SG: No. 65

Lattice parameters (Å, degrees): 5.067 5.067 4.097 90.00 90.00 90.25
Fractional coordinates of all 4 atoms:
Sr (0.000, 0.500, 0.000)
Sr (0.500, 0.000, 0.000)
Al (0.000, 0.000, 0.500)
Ru (0.500, 0.500, 0.500)


DOS(E_F): 1.22 0.94 1.13 (states/eV/atom)
Theoretical density: 7142 7095 4788 (kg/m³)
Electronic total energy: -5.4756 -5.8535 -3.6969 (eV/atom)